A plane-wave DFT calculation with PBE-GGA was carried out for a relaxed Zr3MnCo crystal.

a b c (Å): 4.732 4.732 4.732
angles (deg): 90.00 90.00 90.00
Space group Pm-3m (No. 221)
One atom of each set of equivalent atoms:
Zr 0.000 0.000 0.500 x3
Mn 0.000 0.000 0.000 x1
Co 0.500 0.500 0.500 x1

Summary:
- Crystal system: cubic
- E_form: 0.69 eV per atom
- Spin magnetization: 0.00 μB/atom